[1]
Density functional theory data (PBE) for a geometry-optimized Cu3As structure.

The structure in extended XYZ format:
```
4
Lattice="4.287 -1.398 0.000 4.287 1.398 0.000 -0.740 0.000 4.498" Properties=species:S:1:pos:R:3 pbc="T T T"
Cu 0.000 0.000 0.000
Cu 1.602 0.000 3.413
Cu 6.232 0.000 1.085
As 3.917 0.000 2.249
```

DFT formation energy = 0.10 eV/atom
Total moment = 0.0 Bohr magnetons per cell
Uncorrected energy = -0.3037 Ry per atom

[2]
Density functional theory data (PBE) for a geometry-optimized KMnCr2 structure.

The structure in extended XYZ format:
```
4
Lattice="3.156 0.000 0.000 0.000 3.156 0.000 0.000 0.000 7.758" Properties=species:S:1:pos:R:3 pbc="T T T"
K 0.000 0.000 0.000
Mn 1.578 1.578 2.838
Cr 0.000 0.000 3.798
Cr 1.578 1.578 4.824
```

DFT formation energy = 0.88 eV/atom
Total moment = 0.3 Bohr magnetons per cell
Uncorrected energy = -0.4773 Ry per atom
E above lowest polymorph = 118.2 meV/atom